First-principles (GGA-PBE) data for crystalline AlZn4GaPt2 at its relaxed geometry, as listed in the Open Quantum Materials Database.

Computed properties:
- calculated volume (Å³/f.u.) = 127.97
- spin magnetization (μB/cell) = 0.01
- total DFT energy (no corrections) (eV per atom) = -3.470

Unit cell a=8.1075 b=4.2672 c=7.3978 alpha=90.00 beta=90.00 gamma=90.00
Closest atoms and distances in Å follow each position.
Space group Amm2 (No. 38)
Unique sites:
Al: 0.0000 0.0000 0.0000 x2  3 Pt 2.46
Zn: 0.1736 0.0000 0.6673 x4  4 Pt 2.65-2.84, 4 Zn 2.74-2.82, 3 Al 2.84
Zn: 0.3233 0.0000 0.3357 x4  4 Pt 2.62-2.86, 4 Zn 2.74-2.87, 3 Ga 2.85
Ga: 0.5000 0.0000 0.0029 x2  3 Pt 2.46
Pt: 0.0000 0.0000 0.3332 x2  3 Al 2.46, 2 Zn 2.62
Pt: 0.5000 0.0000 0.6697 x2  3 Ga 2.46, 2 Zn 2.65